1.
Computed, not measured: a relaxed structure of NdSm2Dy5Sc at the GGA-PBE level of DFT.

## Properties
The crystal system is orthorhombic. Its density of states at the Fermi level is 25.8 states/eV per cell. For the formation energy from the elements, the calculation gives 0.163 eV/atom. The total energy comes out at -84.17 eV per cell.

Lattice parameters (Å, degrees): 10.270 10.270 10.443 90.00 90.00 148.38
Sites, in units of the cell vectors:
Nd: 0.087 0.913 0.500
Nd: 0.913 0.087 0.000
Sm: 0.386 0.614 0.777
Sm: 0.388 0.612 0.358
Sm: 0.612 0.388 0.858
Sm: 0.614 0.386 0.277
Dy: 0.018 0.982 0.783
Dy: 0.125 0.875 0.063
Dy: 0.203 0.797 0.748
Dy: 0.223 0.777 0.366
Dy: 0.482 0.518 0.063
Dy: 0.518 0.482 0.563
Dy: 0.777 0.223 0.866
Dy: 0.797 0.203 0.248
Dy: 0.875 0.125 0.563
Dy: 0.982 0.018 0.283
Sc: 0.304 0.696 0.058
Sc: 0.696 0.304 0.558

2.
Computed, not measured: a relaxed structure of NdSm5Dy2Sc at the GGA-PBE level of DFT.

## Properties
The crystal system is orthorhombic. Its density of states at the Fermi level is 28.5 states/eV per cell. For the formation energy from the elements, the calculation gives 0.164 eV/atom. The total energy comes out at -84.85 eV per cell.

Lattice parameters (Å, degrees): 10.442 10.442 10.481 90.00 90.00 148.73
Sites, in units of the cell vectors:
Nd: 0.090 0.910 0.500
Nd: 0.910 0.090 0.000
Sm: 0.017 0.983 0.785
Sm: 0.125 0.875 0.062
Sm: 0.202 0.798 0.749
Sm: 0.224 0.776 0.364
Sm: 0.483 0.517 0.059
Sm: 0.517 0.483 0.559
Sm: 0.776 0.224 0.864
Sm: 0.798 0.202 0.249
Sm: 0.875 0.125 0.562
Sm: 0.983 0.017 0.285
Dy: 0.385 0.615 0.779
Dy: 0.387 0.613 0.355
Dy: 0.613 0.387 0.855
Dy: 0.615 0.385 0.279
Sc: 0.305 0.695 0.057
Sc: 0.695 0.305 0.557

3.
Computed, not measured: a relaxed structure of Nd2SmDy4Sc at the GGA-PBE level of DFT.

## Properties
The crystal system is tetragonal. Its density of states at the Fermi level is 11.6 states/eV per cell. For the formation energy from the elements, the calculation gives 0.033 eV/atom. The total energy comes out at -38.73 eV per cell.

Lattice parameters (Å, degrees): 5.030 5.030 10.034 90.00 90.00 90.00
Sites, in units of the cell vectors:
Nd: 0.000 0.000 0.000
Nd: 0.500 0.500 0.500
Sm: 0.000 0.000 0.500
Dy: 0.000 0.500 0.244
Dy: 0.000 0.500 0.756
Dy: 0.500 0.000 0.244
Dy: 0.500 0.000 0.756
Sc: 0.500 0.500 0.000

4.
Computed, not measured: a relaxed structure of Nd2SmDy2Sc2 at the GGA-PBE level of DFT.

## Properties
The crystal system is monoclinic. Its density of states at the Fermi level is 12.0 states/eV per cell. For the formation energy from the elements, the calculation gives 0.111 eV/atom. The total energy comes out at -35.35 eV per cell.

Lattice parameters (Å, degrees): 5.966 5.966 11.670 108.01 108.01 33.65
Sites, in units of the cell vectors:
Nd: 0.172 0.172 0.090
Nd: 0.828 0.828 0.910
Sm: 0.500 0.500 0.500
Dy: 0.045 0.045 0.768
Dy: 0.955 0.955 0.232
Sc: 0.272 0.272 0.630
Sc: 0.728 0.728 0.370

5.
Computed, not measured: a relaxed structure of Nd6Sm2Dy3Sc at the GGA-PBE level of DFT.

## Properties
The crystal system is monoclinic. Its density of states at the Fermi level is 14.8 states/eV per cell. For the formation energy from the elements, the calculation gives 0.024 eV/atom. The total energy comes out at -57.90 eV per cell.

Lattice parameters (Å, degrees): 6.258 6.258 11.860 95.04 95.04 120.01
Sites, in units of the cell vectors:
Nd: 0.083 0.412 0.249
Nd: 0.248 0.248 0.750
Nd: 0.412 0.083 0.249
Nd: 0.588 0.917 0.751
Nd: 0.752 0.752 0.250
Nd: 0.917 0.588 0.751
Sm: 0.333 0.667 0.000
Sm: 0.667 0.333 0.000
Dy: 0.166 0.834 0.500
Dy: 0.500 0.500 0.500
Dy: 0.834 0.166 0.500
Sc: 0.000 0.000 0.000

6.
Computed, not measured: a relaxed structure of NdSm2Dy4Sc at the GGA-PBE level of DFT.

## Properties
The crystal system is tetragonal. Its density of states at the Fermi level is 11.4 states/eV per cell. For the formation energy from the elements, the calculation gives 0.032 eV/atom. The total energy comes out at -38.69 eV per cell.

Lattice parameters (Å, degrees): 5.013 5.013 10.038 90.00 90.00 90.00
Sites, in units of the cell vectors:
Nd: 0.000 0.000 0.000
Sm: 0.000 0.000 0.500
Sm: 0.500 0.500 0.000
Dy: 0.000 0.500 0.257
Dy: 0.000 0.500 0.743
Dy: 0.500 0.000 0.257
Dy: 0.500 0.000 0.743
Sc: 0.500 0.500 0.500

7.
Computed, not measured: a relaxed structure of NdSm3Dy6Sc2 at the GGA-PBE level of DFT.

## Properties
The crystal system is monoclinic. Its density of states at the Fermi level is 16.3 states/eV per cell. For the formation energy from the elements, the calculation gives 0.037 eV/atom. The total energy comes out at -58.75 eV per cell.

Lattice parameters (Å, degrees): 6.112 6.112 11.697 94.98 94.98 119.98
Sites, in units of the cell vectors:
Nd: 0.000 0.000 0.000
Sm: 0.167 0.833 0.500
Sm: 0.500 0.500 0.500
Sm: 0.833 0.167 0.500
Dy: 0.082 0.418 0.244
Dy: 0.255 0.255 0.756
Dy: 0.418 0.082 0.244
Dy: 0.582 0.918 0.756
Dy: 0.745 0.745 0.244
Dy: 0.918 0.582 0.756
Sc: 0.333 0.667 0.000
Sc: 0.667 0.333 0.000

8.
Computed, not measured: a relaxed structure of NdSmDy2Sc at the GGA-PBE level of DFT.

## Properties
The crystal system is orthorhombic. Its density of states at the Fermi level is 16.8 states/eV per cell. For the formation energy from the elements, the calculation gives 0.346 eV/atom. The total energy comes out at -46.58 eV per cell.

Lattice parameters (Å, degrees): 8.605 8.605 6.395 90.00 90.00 136.34
Sites, in units of the cell vectors:
Nd: 0.163 0.837 0.750
Nd: 0.837 0.163 0.250
Sm: 0.250 0.750 0.250
Sm: 0.750 0.250 0.750
Dy: 0.251 0.251 0.000
Dy: 0.251 0.251 0.500
Dy: 0.749 0.749 0.000
Dy: 0.749 0.749 0.500
Sc: 0.348 0.652 0.750
Sc: 0.652 0.348 0.250

9.
Computed, not measured: a relaxed structure of Nd4Sm2DySc at the GGA-PBE level of DFT.

## Properties
The crystal system is orthorhombic. Its density of states at the Fermi level is 11.1 states/eV per cell. For the formation energy from the elements, the calculation gives 0.028 eV/atom. The total energy comes out at -39.22 eV per cell.

Lattice parameters (Å, degrees): 5.101 5.122 10.075 90.00 90.00 90.00
Sites, in units of the cell vectors:
Nd: 0.000 0.000 0.245
Nd: 0.000 0.000 0.755
Nd: 0.500 0.500 0.246
Nd: 0.500 0.500 0.754
Sm: 0.000 0.500 0.000
Sm: 0.500 0.000 0.500
Dy: 0.000 0.500 0.500
Sc: 0.500 0.000 0.000

10.
Computed, not measured: a relaxed structure of Nd5Sm2DySc at the GGA-PBE level of DFT.

## Properties
The crystal system is orthorhombic. Its density of states at the Fermi level is 25.4 states/eV per cell. For the formation energy from the elements, the calculation gives 0.119 eV/atom. The total energy comes out at -86.28 eV per cell.

Lattice parameters (Å, degrees): 11.364 11.364 10.243 90.00 90.00 152.40
Sites, in units of the cell vectors:
Nd: 0.000 0.000 0.000
Nd: 0.000 0.000 0.500
Nd: 0.128 0.872 0.750
Nd: 0.222 0.778 0.062
Nd: 0.222 0.778 0.438
Nd: 0.500 0.500 0.250
Nd: 0.500 0.500 0.750
Nd: 0.778 0.222 0.562
Nd: 0.778 0.222 0.938
Nd: 0.872 0.128 0.250
Sm: 0.384 0.616 0.001
Sm: 0.384 0.616 0.499
Sm: 0.616 0.384 0.501
Sm: 0.616 0.384 0.999
Dy: 0.102 0.898 0.250
Dy: 0.898 0.102 0.750
Sc: 0.288 0.712 0.750
Sc: 0.712 0.288 0.250

11.
Computed, not measured: a relaxed structure of NdSm2DySc at the GGA-PBE level of DFT.

## Properties
The crystal system is orthorhombic. Its density of states at the Fermi level is 15.0 states/eV per cell. For the formation energy from the elements, the calculation gives 0.225 eV/atom. The total energy comes out at -48.03 eV per cell.

Lattice parameters (Å, degrees): 6.208 7.836 6.650 90.00 90.00 90.00
Sites, in units of the cell vectors:
Nd: 0.250 0.000 0.194
Nd: 0.750 0.000 0.806
Sm: 0.250 0.210 0.716
Sm: 0.250 0.790 0.716
Sm: 0.750 0.210 0.284
Sm: 0.750 0.790 0.284
Dy: 0.250 0.500 0.401
Dy: 0.750 0.500 0.599
Sc: 0.000 0.500 0.000
Sc: 0.500 0.500 0.000

12.
Computed, not measured: a relaxed structure of Nd2Sm3Dy6Sc at the GGA-PBE level of DFT.

## Properties
The crystal system is monoclinic. Its density of states at the Fermi level is 15.1 states/eV per cell. For the formation energy from the elements, the calculation gives 0.024 eV/atom. The total energy comes out at -57.35 eV per cell.

Lattice parameters (Å, degrees): 6.169 6.169 11.815 94.98 94.98 119.98
Sites, in units of the cell vectors:
Nd: 0.166 0.834 0.000
Nd: 0.834 0.166 0.000
Sm: 0.000 0.000 0.500
Sm: 0.334 0.666 0.500
Sm: 0.666 0.334 0.500
Dy: 0.088 0.418 0.752
Dy: 0.252 0.252 0.249
Dy: 0.418 0.088 0.752
Dy: 0.582 0.912 0.248
Dy: 0.748 0.748 0.751
Dy: 0.912 0.582 0.248
Sc: 0.500 0.500 0.000

13.
Computed, not measured: a relaxed structure of TbNdDySc at the GGA-PBE level of DFT.

## Properties
The crystal system is monoclinic. Its density of states at the Fermi level is 7.0 states/eV per cell. The energy above the most stable polymorph in this dataset comes out at 0.0 kJ per mole of atoms. For the formation energy from the elements, the calculation gives 0.096 eV/atom. The total energy comes out at -19.95 eV per cell.

Lattice parameters (Å, degrees): 6.714 6.714 3.778 106.30 106.30 49.88
Sites, in units of the cell vectors:
Tb: 0.000 0.000 0.000
Nd: 0.271 0.271 0.783
Dy: 0.540 0.540 0.540
Sc: 0.769 0.769 0.274

14.
Computed, not measured: a relaxed structure of Tb3Nd6Dy2Sc at the GGA-PBE level of DFT.

## Properties
The crystal system is monoclinic. Its density of states at the Fermi level is 13.8 states/eV per cell. For the formation energy from the elements, the calculation gives 0.023 eV/atom. The total energy comes out at -57.76 eV per cell.

Lattice parameters (Å, degrees): 6.247 6.247 11.794 95.05 95.05 120.00
Sites, in units of the cell vectors:
Tb: 0.000 0.000 0.000
Tb: 0.333 0.667 0.000
Tb: 0.667 0.333 0.000
Nd: 0.088 0.418 0.253
Nd: 0.252 0.252 0.747
Nd: 0.418 0.088 0.253
Nd: 0.582 0.912 0.747
Nd: 0.748 0.748 0.253
Nd: 0.912 0.582 0.747
Dy: 0.167 0.833 0.500
Dy: 0.833 0.167 0.500
Sc: 0.500 0.500 0.500

15.
Computed, not measured: a relaxed structure of Tb3Nd2Dy6Sc at the GGA-PBE level of DFT.

## Properties
The crystal system is monoclinic. Its density of states at the Fermi level is 15.2 states/eV per cell. For the formation energy from the elements, the calculation gives 0.024 eV/atom. The total energy comes out at -57.08 eV per cell.

Lattice parameters (Å, degrees): 6.137 6.137 11.772 94.97 94.97 119.98
Sites, in units of the cell vectors:
Tb: 0.000 0.000 0.000
Tb: 0.334 0.666 0.000
Tb: 0.666 0.334 0.000
Nd: 0.166 0.834 0.500
Nd: 0.834 0.166 0.500
Dy: 0.087 0.417 0.250
Dy: 0.253 0.253 0.751
Dy: 0.417 0.087 0.250
Dy: 0.583 0.913 0.750
Dy: 0.747 0.747 0.249
Dy: 0.913 0.583 0.750
Sc: 0.500 0.500 0.500

16.
Computed, not measured: a relaxed structure of Tb5NdDySc2 at the GGA-PBE level of DFT.

## Properties
The crystal system is orthorhombic. Its density of states at the Fermi level is 26.3 states/eV per cell. For the formation energy from the elements, the calculation gives 0.167 eV/atom. The total energy comes out at -87.36 eV per cell.

Lattice parameters (Å, degrees): 11.115 11.115 9.371 90.00 90.00 150.78
Sites, in units of the cell vectors:
Tb: 0.009 0.991 0.500
Tb: 0.266 0.734 0.813
Tb: 0.306 0.694 0.201
Tb: 0.391 0.609 0.523
Tb: 0.468 0.532 0.229
Tb: 0.532 0.468 0.729
Tb: 0.609 0.391 0.023
Tb: 0.694 0.306 0.701
Tb: 0.734 0.266 0.313
Tb: 0.991 0.009 0.000
Nd: 0.402 0.598 0.897
Nd: 0.598 0.402 0.397
Dy: 0.188 0.812 0.500
Dy: 0.812 0.188 0.000
Sc: 0.114 0.886 0.805
Sc: 0.141 0.859 0.177
Sc: 0.859 0.141 0.677
Sc: 0.886 0.114 0.305

17.
Computed, not measured: a relaxed structure of Tb2NdDy6Sc at the GGA-PBE level of DFT.

## Properties
The crystal system is monoclinic. Its density of states at the Fermi level is 26.9 states/eV per cell. For the formation energy from the elements, the calculation gives 0.127 eV/atom. The total energy comes out at -93.41 eV per cell.

Lattice parameters (Å, degrees): 8.711 8.711 9.422 93.61 93.61 117.18
Sites, in units of the cell vectors:
Tb: 0.194 0.297 0.451
Tb: 0.297 0.194 0.951
Tb: 0.703 0.806 0.049
Tb: 0.806 0.703 0.549
Nd: 0.477 0.523 0.750
Nd: 0.523 0.477 0.250
Dy: 0.010 0.793 0.885
Dy: 0.062 0.505 0.689
Dy: 0.207 0.990 0.615
Dy: 0.252 0.626 0.056
Dy: 0.374 0.748 0.444
Dy: 0.495 0.938 0.811
Dy: 0.505 0.062 0.189
Dy: 0.626 0.252 0.556
Dy: 0.748 0.374 0.944
Dy: 0.793 0.010 0.385
Dy: 0.938 0.495 0.311
Dy: 0.990 0.207 0.115
Sc: 0.086 0.914 0.250
Sc: 0.914 0.086 0.750

18.
Computed, not measured: a relaxed structure of TbNd6DySc2 at the GGA-PBE level of DFT.

## Properties
The crystal system is monoclinic. Its density of states at the Fermi level is 31.9 states/eV per cell. For the formation energy from the elements, the calculation gives 0.124 eV/atom. The total energy comes out at -98.52 eV per cell.

Lattice parameters (Å, degrees): 8.801 8.801 9.596 94.40 94.40 117.63
Sites, in units of the cell vectors:
Tb: 0.029 0.971 0.750
Tb: 0.971 0.029 0.250
Nd: 0.011 0.560 0.684
Nd: 0.108 0.762 0.053
Nd: 0.238 0.892 0.447
Nd: 0.300 0.505 0.882
Nd: 0.440 0.989 0.816
Nd: 0.495 0.700 0.618
Nd: 0.505 0.300 0.382
Nd: 0.560 0.011 0.184
Nd: 0.700 0.495 0.118
Nd: 0.762 0.108 0.553
Nd: 0.892 0.238 0.947
Nd: 0.989 0.440 0.316
Dy: 0.408 0.592 0.250
Dy: 0.592 0.408 0.750
Sc: 0.197 0.294 0.549
Sc: 0.294 0.197 0.049
Sc: 0.706 0.803 0.951
Sc: 0.803 0.706 0.451

19.
Computed, not measured: a relaxed structure of TbNd2Dy6Sc3 at the GGA-PBE level of DFT.

## Properties
The crystal system is monoclinic. Its density of states at the Fermi level is 17.4 states/eV per cell. For the formation energy from the elements, the calculation gives 0.046 eV/atom. The total energy comes out at -60.22 eV per cell.

Lattice parameters (Å, degrees): 6.081 6.081 11.529 95.04 95.04 120.00
Sites, in units of the cell vectors:
Tb: 0.000 0.000 0.000
Nd: 0.333 0.667 0.000
Nd: 0.667 0.333 0.000
Dy: 0.087 0.420 0.262
Dy: 0.246 0.246 0.738
Dy: 0.420 0.087 0.262
Dy: 0.580 0.913 0.738
Dy: 0.754 0.754 0.262
Dy: 0.913 0.580 0.738
Sc: 0.166 0.834 0.500
Sc: 0.500 0.500 0.500
Sc: 0.834 0.166 0.500

20.
Computed, not measured: a relaxed structure of TbNdDy3Sc at the GGA-PBE level of DFT.

## Properties
The crystal system is orthorhombic. Its density of states at the Fermi level is 17.9 states/eV per cell. For the formation energy from the elements, the calculation gives 0.038 eV/atom. The total energy comes out at -58.62 eV per cell.

Lattice parameters (Å, degrees): 7.870 7.870 9.985 90.00 90.00 143.12
Sites, in units of the cell vectors:
Tb: 0.000 0.000 0.000
Tb: 0.000 0.000 0.500
Nd: 0.498 0.502 0.750
Nd: 0.502 0.498 0.250
Dy: 0.170 0.830 0.750
Dy: 0.332 0.668 0.000
Dy: 0.332 0.668 0.500
Dy: 0.668 0.332 0.000
Dy: 0.668 0.332 0.500
Dy: 0.830 0.170 0.250
Sc: 0.168 0.832 0.250
Sc: 0.832 0.168 0.750